Here is a relaxed structure of MnRuBr2 from Alexandria via LeMat-Bulk. Energies are from PBE.

Cell: 8.6341 8.6341 8.6341 Å, 23.57 23.57 23.57°
Site moments in Bohr magnetons follow the coordinates.
Fractional coordinates of all 4 atoms:
Br  0.2127  0.2127  0.2127  0.00
Br  0.0339  0.0339  0.0339  -0.01
Ru  0.7729  0.7729  0.7729  -0.07
Mn  0.4806  0.4806  0.4806  0.13

Computed properties:
- relative energy among the computed polymorphs (meV per atom) = 63
- space-group type = No. 160
- uncorrected formation energy (eV/atom) = 0.13
- ρ (g/cm3) = 5.80

=====

Here is a relaxed structure of MnRuBr2 from Alexandria via LeMat-Bulk. Energies are from PBE.

Cell: 8.1654 8.1654 8.1654 Å, 22.88 22.88 22.88°
Fractional coordinates of all 4 atoms:
Br  0.1009  0.1009  0.1009
Br  0.8991  0.8991  0.8991
Mn  0.5000  0.5000  0.5000
Ru  0.0000  0.0000  0.0000

Computed properties:
- relative energy among the computed polymorphs (meV per atom) = 708
- space-group type = No. 166
- uncorrected formation energy (eV/atom) = 0.78
- ρ (g/cm3) = 7.26

=====

Here is a relaxed structure of Mn2RuBr from Alexandria via LeMat-Bulk. Energies are from PBE.

Cell: 3.1385 3.1385 7.1277 Å, 90.00 90.00 90.00°
Site moments in Bohr magnetons follow the coordinates.
Fractional coordinates of all 4 atoms:
Br  0.5000  0.5000  0.7500  0.08
Mn  0.0000  0.0000  0.4549  3.83
Mn  0.0000  0.0000  0.0451  3.83
Ru  0.5000  0.5000  0.2500  0.29

Computed properties:
- relative energy among the computed polymorphs (meV per atom) = 73
- space-group type = No. 123
- uncorrected formation energy (eV/atom) = 0.32
- ρ (g/cm3) = 6.88

=====

| no. | DFT total energy (eV for the cell shown) |
| --- | --- |
| 1 | -21.3 |
| 2 | -18.7 |
| 3 | -28.0 |